Record 1
Below is a geometry-optimized Sc2ZnB2Ir5 structure, with properties calculated at the PBE level.

## Properties
As for the volume: 13.6 Å³/atom. The calculated density is 13.93 g/cm³. Its formation energy is -0.77 eV per atom. Its space-group type is P4/mbm. The value obtained for the energy is -7.93 eV/atom.

Unit cell a=9.472 b=9.472 c=3.025 alpha=90.00 beta=90.00 gamma=90.00
Fractional positions:
Sc 0.177 0.323 0.000
Sc 0.323 0.823 0.000
Sc 0.677 0.177 0.000
Sc 0.823 0.677 0.000
Zn 0.000 0.000 0.000
Zn 0.500 0.500 0.000
B 0.126 0.626 0.000
B 0.374 0.126 0.000
B 0.626 0.874 0.000
B 0.874 0.374 0.000
Ir 0.000 0.500 0.500
Ir 0.069 0.783 0.500
Ir 0.217 0.069 0.500
Ir 0.283 0.569 0.500
Ir 0.431 0.283 0.500
Ir 0.500 0.000 0.500
Ir 0.569 0.717 0.500
Ir 0.717 0.431 0.500
Ir 0.783 0.931 0.500
Ir 0.931 0.217 0.500

---

Record 2
Below is a geometry-optimized B3IrSe structure, with properties calculated at the PBE level.

## Properties
As for the volume: 12.9 Å³/atom. The calculation puts the distance to the lowest polymorph of the same formula at 1.0995 eV per atom. The calculated density is 7.84 g/cm³. Its space-group type is Pm-3m. The value obtained for the energy is -4.28 eV/atom.

Unit cell a=4.006 b=4.006 c=4.006 alpha=90.00 beta=90.00 gamma=90.00
Fractional positions:
B 0.000 0.000 0.500
B 0.000 0.500 0.000
B 0.500 0.000 0.000
Ir 0.500 0.500 0.500
Se 0.000 0.000 0.000

---

Record 3
Below is a geometry-optimized B3IrSe structure, with properties calculated at the PBE level.

## Properties
As for the volume: 14.5 Å³/atom. The calculation puts the distance to the lowest polymorph of the same formula at 0.0000 eV per atom. The calculated density is 6.94 g/cm³. Its space-group type is Pm-3m. The value obtained for the energy is -5.38 eV/atom.

Unit cell a=4.173 b=4.173 c=4.173 alpha=90.00 beta=90.00 gamma=90.00
Fractional positions:
B 0.000 0.000 0.500
B 0.000 0.500 0.000
B 0.500 0.000 0.000
Ir 0.000 0.000 0.000
Se 0.500 0.500 0.500

---

Record 4
Below is a geometry-optimized B2IrSe structure, with properties calculated at the PBE level.

## Properties
As for the volume: 14.2 Å³/atom. The calculated density is 8.54 g/cm³. Its space-group type is I-42d. The value obtained for the energy is -6.16 eV/atom.

Unit cell a=4.931 b=4.931 c=9.365 alpha=90.00 beta=90.00 gamma=90.00
Fractional positions:
B 0.234 0.250 0.125
B 0.250 0.734 0.375
B 0.250 0.766 0.875
B 0.266 0.250 0.625
B 0.734 0.750 0.625
B 0.750 0.234 0.875
B 0.750 0.266 0.375
B 0.766 0.750 0.125
Ir 0.000 0.000 0.000
Ir 0.000 0.500 0.250
Ir 0.500 0.000 0.750
Ir 0.500 0.500 0.500
Se 0.000 0.000 0.500
Se 0.000 0.500 0.750
Se 0.500 0.000 0.250
Se 0.500 0.500 0.000

---

Record 5
Below is a geometry-optimized BIrSe3 structure, with properties calculated at the PBE level.

## Properties
As for the volume: 23.8 Å³/atom. The calculated density is 6.13 g/cm³. Its space-group type is Pm-3m. The value obtained for the energy is -3.82 eV/atom.

Unit cell a=4.921 b=4.921 c=4.921 alpha=90.00 beta=90.00 gamma=90.00
Fractional positions:
B 0.000 0.000 0.000
Ir 0.500 0.500 0.500
Se 0.000 0.500 0.500
Se 0.500 0.000 0.500
Se 0.500 0.500 0.000

---

Record 6
Below is a geometry-optimized BIrSe2 structure, with properties calculated at the PBE level.

## Properties
As for the volume: 17.3 Å³/atom. The calculated density is 8.65 g/cm³. Its space-group type is I-42d. The value obtained for the energy is -5.30 eV/atom.

Unit cell a=5.461 b=5.461 c=9.296 alpha=90.00 beta=90.00 gamma=90.00
Fractional positions:
B 0.000 0.000 0.000
B 0.000 0.500 0.250
B 0.500 0.000 0.750
B 0.500 0.500 0.500
Ir 0.000 0.000 0.500
Ir 0.000 0.500 0.750
Ir 0.500 0.000 0.250
Ir 0.500 0.500 0.000
Se 0.202 0.250 0.125
Se 0.250 0.702 0.375
Se 0.250 0.798 0.875
Se 0.298 0.250 0.625
Se 0.702 0.750 0.625
Se 0.750 0.202 0.875
Se 0.750 0.298 0.375
Se 0.798 0.750 0.125

---

Record 7
Below is a geometry-optimized BIrSe2 structure, with properties calculated at the PBE level.

## Properties
As for the volume: 15.6 Å³/atom. The calculated density is 9.58 g/cm³. Its space-group type is R-3m. The value obtained for the energy is -5.03 eV/atom.

Unit cell a=3.142 b=3.142 c=21.959 alpha=90.00 beta=90.00 gamma=120.00
Fractional positions:
B 0.000 0.000 0.000
B 0.333 0.667 0.667
B 0.667 0.333 0.333
Ir 0.000 0.000 0.500
Ir 0.333 0.667 0.167
Ir 0.667 0.333 0.833
Se 0.000 0.000 0.392
Se 0.000 0.000 0.608
Se 0.333 0.667 0.059
Se 0.333 0.667 0.275
Se 0.667 0.333 0.725
Se 0.667 0.333 0.941

---

Record 8
Below is a geometry-optimized SnB2IrSe structure, with properties calculated at the PBE level.

## Properties
As for the volume: 18.5 Å³/atom. The calculated density is 7.41 g/cm³. Its space-group type is P4/mmm. The value obtained for the energy is -5.52 eV/atom.

Unit cell a=4.083 b=4.083 c=5.534 alpha=90.00 beta=90.00 gamma=90.00
Fractional positions:
Sn 0.000 0.000 0.000
B 0.000 0.500 0.500
B 0.500 0.000 0.500
Ir 0.000 0.000 0.500
Se 0.500 0.500 0.000

---

Record 9
Below is a geometry-optimized SrBIr2Se structure, with properties calculated at the PBE level.

## Properties
As for the volume: 18.7 Å³/atom. The calculated density is 9.98 g/cm³. Its space-group type is P4/mmm. The value obtained for the energy is -5.97 eV/atom.

Unit cell a=4.143 b=4.143 c=5.449 alpha=90.00 beta=90.00 gamma=90.00
Fractional positions:
Sr 0.000 0.000 0.000
B 0.000 0.000 0.500
Ir 0.000 0.500 0.500
Ir 0.500 0.000 0.500
Se 0.500 0.500 0.000

---

Record 10
Below is a geometry-optimized Sr2BIrSe structure, with properties calculated at the PBE level.

## Properties
As for the volume: 24.8 Å³/atom. The calculated density is 6.12 g/cm³. Its space-group type is P4/mmm. The value obtained for the energy is -5.09 eV/atom.

Unit cell a=5.595 b=5.595 c=3.960 alpha=90.00 beta=90.00 gamma=90.00
Fractional positions:
Sr 0.000 0.500 0.000
Sr 0.500 0.000 0.000
B 0.000 0.000 0.000
Ir 0.000 0.000 0.500
Se 0.500 0.500 0.500

---

Record 11
Below is a geometry-optimized TaBIrSe2 structure, with properties calculated at the PBE level.

## Properties
As for the volume: 20.9 Å³/atom. The calculated density is 8.61 g/cm³. Its space-group type is P4/mmm. The value obtained for the energy is -5.57 eV/atom.

Unit cell a=4.939 b=4.939 c=4.282 alpha=90.00 beta=90.00 gamma=90.00
Fractional positions:
Ta 0.000 0.000 0.000
B 0.000 0.000 0.500
Ir 0.500 0.500 0.500
Se 0.000 0.500 0.000
Se 0.500 0.000 0.000

---

Record 12
Below is a geometry-optimized Si2BIr structure, with properties calculated at the PBE level.

## Properties
As for the volume: 15.9 Å³/atom. The calculated density is 6.78 g/cm³. Its space-group type is I-42d. The value obtained for the energy is -6.47 eV/atom.

Unit cell a=5.018 b=5.018 c=10.079 alpha=90.00 beta=90.00 gamma=90.00
Fractional positions:
Si 0.196 0.250 0.125
Si 0.250 0.696 0.375
Si 0.250 0.804 0.875
Si 0.304 0.250 0.625
Si 0.696 0.750 0.625
Si 0.750 0.196 0.875
Si 0.750 0.304 0.375
Si 0.804 0.750 0.125
B 0.000 0.000 0.000
B 0.000 0.500 0.250
B 0.500 0.000 0.750
B 0.500 0.500 0.500
Ir 0.000 0.000 0.500
Ir 0.000 0.500 0.750
Ir 0.500 0.000 0.250
Ir 0.500 0.500 0.000

---

What did the first record say?
Below is a geometry-optimized Sc2ZnB2Ir5 structure, with properties calculated at the PBE level.

## Properties
As for the volume: 13.6 Å³/atom. The calculated density is 13.93 g/cm³. Its formation energy is -0.77 eV per atom. Its space-group type is P4/mbm. The value obtained for the energy is -7.93 eV/atom.

Unit cell a=9.472 b=9.472 c=3.025 alpha=90.00 beta=90.00 gamma=90.00
Fractional positions:
Sc 0.177 0.323 0.000
Sc 0.323 0.823 0.000
Sc 0.677 0.177 0.000
Sc 0.823 0.677 0.000
Zn 0.000 0.000 0.000
Zn 0.500 0.500 0.000
B 0.126 0.626 0.000
B 0.374 0.126 0.000
B 0.626 0.874 0.000
B 0.874 0.374 0.000
Ir 0.000 0.500 0.500
Ir 0.069 0.783 0.500
Ir 0.217 0.069 0.500
Ir 0.283 0.569 0.500
Ir 0.431 0.283 0.500
Ir 0.500 0.000 0.500
Ir 0.569 0.717 0.500
Ir 0.717 0.431 0.500
Ir 0.783 0.931 0.500
Ir 0.931 0.217 0.500